Record 1
Sm4AsSe3 | PBE-GGA | optimized geometry

Summary:
raw formation energy = -1.787 eV per atom
density of states at the Fermi level = 1.65 states/eV/cell

```
Sm4AsSe3
1.0
-2.266 5.330 -1.185
-3.946 -2.486 -3.632
-3.773 -0.601 4.511
As Sm Se
1 4 3
Cartesian
0.000 0.000 0.000
-1.887 -0.300 2.255
-4.993 1.122 -0.153
-1.973 -1.243 -1.816
-1.133 2.665 -0.593
-3.019 2.364 1.663
-3.860 -1.543 0.439
-3.106 1.422 -2.409
```

***

Record 2
SmAsSe | PBE-GGA | optimized geometry

Summary:
raw formation energy = -1.440 eV per atom
density of states at the Fermi level = 0.00 states/eV/cell

```
SmAsSe
1.0
-2.856 -2.544 0.975
0.963 -3.537 -6.405
6.651 -5.846 4.228
As Sm Se
4 4 4
Cartesian
5.109 -10.708 -0.987
1.838 -6.488 0.443
2.919 -5.439 -1.644
-0.351 -1.219 -0.215
2.997 -8.545 -1.528
1.760 -3.382 0.327
1.027 -4.083 -3.648
3.730 -7.844 2.446
-0.722 -4.255 -1.232
5.480 -7.672 0.031
3.726 -4.785 2.424
1.031 -7.142 -3.626
```

***

Record 3
SmAsSe3 | PBE-GGA | optimized geometry

Summary:
raw formation energy = -0.904 eV per atom
energy above the lowest structure with this stoichiometry = 35.9 meV per atom

```
SmAsSe3
1.0
-6.697 2.147 -1.219
-4.202 -3.739 -4.396
-5.765 -4.235 3.318
Sm Se As
2 6 2
Cartesian
-7.440 -1.364 -3.319
-9.224 -4.463 1.022
-7.362 -2.400 1.945
-11.491 -3.157 -0.292
-7.853 -6.154 -0.936
-9.302 -3.427 -4.242
-5.173 -2.670 -2.005
-8.811 0.327 -1.361
-12.125 -3.723 -2.630
-4.539 -2.104 0.333
```